No. 1
Compound: Sm3Er3Tm2
Source: Alexandria
Functional: PBE-GGA
Structure: relaxed

Lattice parameters (Å, degrees): 5.481 6.482 16.086 90.00 90.00 115.01
Fractional coordinates of all 16 atoms:
Sm (0.618, 0.237, 0.449)
Sm (0.382, 0.763, 0.949)
Sm (0.618, 0.237, 0.051)
Sm (0.382, 0.763, 0.551)
Sm (0.460, 0.921, 0.250)
Sm (0.540, 0.079, 0.750)
Er (0.923, 0.847, 0.409)
Er (0.077, 0.153, 0.909)
Er (0.923, 0.847, 0.091)
Er (0.077, 0.153, 0.591)
Er (0.738, 0.476, 0.250)
Er (0.262, 0.524, 0.750)
Tm (0.776, 0.552, 0.867)
Tm (0.224, 0.448, 0.367)
Tm (0.776, 0.552, 0.633)
Tm (0.224, 0.448, 0.133)

Computed properties:
The value obtained for the energy above the most stable polymorph in this dataset is 16 meV per atom. Its density of states at the Fermi level is 1.7357 states/eV/atom. The formation energy comes out at 0.1444 eV/atom. As for the space-group type: Cmcm (63). The value obtained for the electronic total energy is -4.454 eV/atom. Its total magnetization is 0.00 μB per formula unit. The volume comes out at 518 Å³ per cell.

=====

No. 2
Compound: Sm6Er2Tm3
Source: Alexandria
Functional: PBE-GGA
Structure: relaxed

Lattice parameters (Å, degrees): 4.734 4.734 16.999 98.00 98.00 90.00
Fractional coordinates of all 11 atoms:
Sm (0.120, 0.620, 0.241)
Sm (0.620, 0.120, 0.241)
Sm (0.880, 0.380, 0.759)
Sm (0.380, 0.880, 0.759)
Sm (0.699, 0.699, 0.399)
Sm (0.301, 0.301, 0.601)
Er (0.455, 0.455, 0.909)
Er (0.545, 0.545, 0.091)
Tm (0.000, 0.000, 0.000)
Tm (0.802, 0.802, 0.605)
Tm (0.198, 0.198, 0.395)

Computed properties:
Its density of states at the Fermi level is 1.4517 states/eV/atom. The formation energy comes out at 0.3054 eV/atom. As for the space-group type: I4/mmm (139). The value obtained for the electronic total energy is -4.318 eV/atom. Its total magnetization is 0.00 μB per formula unit. The volume comes out at 373 Å³ per cell.

=====

No. 3
Compound: Sm3Er3Tm2
Source: Alexandria
Functional: PBE-GGA
Structure: relaxed

Lattice parameters (Å, degrees): 5.885 5.883 8.445 110.41 110.39 90.00
Fractional coordinates of all 8 atoms:
Sm (0.372, 0.872, 0.744)
Sm (0.500, 0.500, 0.000)
Sm (0.628, 0.128, 0.256)
Er (0.874, 0.374, 0.749)
Er (0.126, 0.626, 0.251)
Er (0.000, 0.000, 0.000)
Tm (0.751, 0.751, 0.502)
Tm (0.249, 0.249, 0.498)

Computed properties:
The value obtained for the energy above the most stable polymorph in this dataset is 0 meV per atom. Its density of states at the Fermi level is 2.2532 states/eV/atom. The formation energy comes out at 0.1282 eV/atom. As for the space-group type: C2/m (12). The value obtained for the electronic total energy is -4.470 eV/atom. Its total magnetization is 0.00 μB per formula unit. The volume comes out at 254 Å³ per cell.

=====

No. 4
Compound: Sm3Er8Tm2
Source: Alexandria
Functional: PBE-GGA
Structure: relaxed

Lattice parameters (Å, degrees): 6.117 6.119 11.703 69.60 85.05 80.44
Fractional coordinates of all 13 atoms:
Sm (0.000, 0.000, 0.000)
Sm (0.461, 0.310, 0.921)
Sm (0.539, 0.690, 0.079)
Er (0.076, 0.381, 0.157)
Er (0.924, 0.619, 0.843)
Er (0.153, 0.766, 0.311)
Er (0.847, 0.234, 0.689)
Er (0.387, 0.926, 0.766)
Er (0.308, 0.540, 0.614)
Er (0.692, 0.460, 0.386)
Er (0.613, 0.074, 0.234)
Tm (0.769, 0.847, 0.538)
Tm (0.231, 0.153, 0.462)

Computed properties:
The value obtained for the energy above the most stable polymorph in this dataset is 0 meV per atom. Its density of states at the Fermi level is 1.4874 states/eV/atom. The formation energy comes out at 0.0238 eV/atom. As for the space-group type: P-1 (2). The value obtained for the electronic total energy is -4.561 eV/atom. Its total magnetization is 0.00 μB per formula unit. The volume comes out at 405 Å³ per cell.

=====

No. 5
Compound: SmErTm2
Source: Alexandria
Functional: PBE-GGA
Structure: relaxed

Lattice parameters (Å, degrees): 3.967 3.967 8.043 90.00 90.00 90.00
Fractional coordinates of all 4 atoms:
Tm (0.000, 0.000, 0.763)
Tm (0.000, 0.000, 0.237)
Sm (0.500, 0.500, 0.500)
Er (0.500, 0.500, 0.000)

Computed properties:
The value obtained for the energy above the most stable polymorph in this dataset is 110 meV per atom. Its density of states at the Fermi level is 1.7664 states/eV/atom. The formation energy comes out at 0.1190 eV/atom. As for the space-group type: P4/mmm (123). The value obtained for the electronic total energy is -4.437 eV/atom. Its total magnetization is 0.00 μB per formula unit. The volume comes out at 127 Å³ per cell.

=====

No. 6
Compound: Sm2Er9Tm3
Source: Alexandria
Functional: PBE-GGA
Structure: relaxed

Lattice parameters (Å, degrees): 5.328 14.762 10.411 45.82 51.50 55.13
Fractional coordinates of all 14 atoms:
Sm (0.499, 0.240, 0.737)
Sm (0.501, 0.760, 0.263)
Er (0.000, 0.500, 0.500)
Er (0.833, 0.934, 0.756)
Er (0.167, 0.066, 0.244)
Er (0.413, 0.701, 0.995)
Er (0.587, 0.299, 0.005)
Er (0.717, 0.862, 0.505)
Er (0.283, 0.138, 0.495)
Er (0.039, 0.511, 0.776)
Er (0.961, 0.489, 0.224)
Tm (0.000, 0.000, 0.000)
Tm (0.698, 0.335, 0.258)
Tm (0.302, 0.665, 0.742)

Computed properties:
Its density of states at the Fermi level is 1.5337 states/eV/atom. The formation energy comes out at 0.1801 eV/atom. As for the space-group type: P-1 (2). The value obtained for the electronic total energy is -4.386 eV/atom. Its total magnetization is 0.00 μB per formula unit. The volume comes out at 446 Å³ per cell.

=====

No. 7
Compound: Sm4Er4Tm
Source: Alexandria
Functional: PBE-GGA
Structure: relaxed

Lattice parameters (Å, degrees): 5.014 7.960 7.960 84.31 71.64 71.64
Fractional coordinates of all 9 atoms:
Sm (0.666, 0.667, 0.000)
Sm (0.334, 0.333, 0.000)
Sm (0.666, 0.000, 0.667)
Sm (0.334, 0.000, 0.333)
Er (0.666, 0.334, 0.334)
Er (0.334, 0.666, 0.666)
Er (0.000, 0.666, 0.334)
Er (0.000, 0.334, 0.666)
Tm (0.000, 0.000, 0.000)

Computed properties:
The value obtained for the energy above the most stable polymorph in this dataset is 0 meV per atom. Its density of states at the Fermi level is 1.4277 states/eV/atom. The formation energy comes out at 0.0203 eV/atom. As for the space-group type: I4/mmm (139). The value obtained for the electronic total energy is -4.602 eV/atom. Its total magnetization is 0.00 μB per formula unit. The volume comes out at 286 Å³ per cell.

=====

No. 8
Compound: Sm2Er7Tm4
Source: Alexandria
Functional: PBE-GGA
Structure: relaxed

Lattice parameters (Å, degrees): 6.000 6.000 13.236 90.00 90.00 120.00
Fractional coordinates of all 13 atoms:
Sm (0.667, 0.333, 0.000)
Sm (0.333, 0.667, 0.000)
Er (0.000, 0.649, 0.784)
Er (0.000, 0.351, 0.216)
Er (0.000, 0.000, 0.000)
Er (0.649, 0.000, 0.784)
Er (0.351, 0.000, 0.216)
Er (0.649, 0.649, 0.216)
Er (0.351, 0.351, 0.784)
Tm (0.000, 0.000, 0.605)
Tm (0.000, 0.000, 0.395)
Tm (0.667, 0.333, 0.500)
Tm (0.333, 0.667, 0.500)

Computed properties:
Its density of states at the Fermi level is 1.3202 states/eV/atom. The formation energy comes out at 0.1955 eV/atom. As for the space-group type: P-31m (162). The value obtained for the electronic total energy is -4.363 eV/atom. Its total magnetization is 0.00 μB per formula unit. The volume comes out at 413 Å³ per cell.